Entry from Alexandria via LeMat-Bulk: a crystal of KInAs2 relaxed with PBEsol (SCAN).

Unit cell a=6.792 b=6.792 c=6.792 alpha=145.07 beta=140.04 gamma=54.10
Fractional positions:
K 0.000 0.000 0.000
In 0.726 0.226 0.500
As 0.257 0.757 0.500
As 0.382 0.382 0.000

Formation energy from the elements = -0.218 eV per atom
VASP energy = -20.742 eV/atom
V = 28.6 Å³/atom

Entry from Alexandria via LeMat-Bulk: a crystal of KCuMo2 relaxed with PBEsol (SCAN).

Unit cell a=2.601 b=2.601 c=10.434 alpha=90.00 beta=90.00 gamma=103.74
Fractional positions:
K 0.000 0.000 0.000
Cu 0.000 0.000 0.500
Mo 0.500 0.500 0.299
Mo 0.500 0.500 0.701

Formation energy from the elements = 0.947 eV per atom
VASP energy = -22.378 eV/atom
V = 17.1 Å³/atom

Entry from Alexandria via LeMat-Bulk: a crystal of KInGaSi2 relaxed with PBEsol (SCAN).

Unit cell a=5.095 b=5.095 c=5.924 alpha=90.00 beta=90.00 gamma=90.00
Fractional positions:
K 0.000 0.000 0.000
In 0.000 0.000 0.500
Ga 0.500 0.500 0.000
Si 0.000 0.500 0.500
Si 0.500 0.000 0.500

Formation energy from raw total energies = 0.9905 eV per atom
VASP energy = -14.628 eV/atom
V = 30.8 Å³/atom

Entry from Alexandria via LeMat-Bulk: a crystal of SiBW2 relaxed with PBEsol (SCAN).

Unit cell a=6.666 b=6.666 c=6.666 alpha=137.14 beta=137.14 gamma=62.22
Fractional positions:
Si 0.000 0.000 0.000
Si 0.750 0.250 0.500
B 0.250 0.750 0.500
B 0.500 0.500 0.000
W 0.203 0.625 0.078
W 0.375 0.453 0.578
W 0.547 0.125 0.922
W 0.875 0.797 0.422

Formation energy from raw total energies = 1.2182 eV per atom
VASP energy = -37.987 eV/atom
V = 16.9 Å³/atom

Entry from Alexandria via LeMat-Bulk: a crystal of TcPb2Br relaxed with PBEsol (SCAN).

Unit cell a=3.197 b=3.197 c=8.993 alpha=90.00 beta=90.00 gamma=90.00
Fractional positions:
Tc 0.000 0.000 0.000
Pb 0.000 0.000 0.468
Pb 0.500 0.500 0.774
Br 0.500 0.500 0.146

Formation energy from raw total energies = 0.4864 eV per atom
VASP energy = -51.034 eV/atom
V = 23.0 Å³/atom

Entry from Alexandria via LeMat-Bulk: a crystal of Li2CdIn relaxed with PBEsol (SCAN).

Unit cell a=4.654 b=4.654 c=4.654 alpha=60.00 beta=60.00 gamma=60.00
Fractional positions:
Li 0.250 0.250 0.250
Li 0.750 0.750 0.750
Cd 0.000 0.000 0.000
In 0.500 0.500 0.500

Formation energy from the elements = -0.350 eV per atom
VASP energy = -17.495 eV/atom
V = 17.8 Å³/atom

Entry from Alexandria via LeMat-Bulk: a crystal of Sr2ZrCdCl relaxed with PBEsol (SCAN).

Unit cell a=5.449 b=5.449 c=5.565 alpha=90.00 beta=90.00 gamma=90.00
Fractional positions:
Sr 0.000 0.500 0.000
Sr 0.500 0.000 0.000
Zr 0.000 0.000 0.500
Cd 0.500 0.500 0.500
Cl 0.500 0.500 0.000

Formation energy from raw total energies = -0.1442 eV per atom
VASP energy = -22.872 eV/atom
V = 33.0 Å³/atom

Entry from Alexandria via LeMat-Bulk: a crystal of IrRuBr relaxed with PBEsol (SCAN).

Unit cell a=7.385 b=7.095 c=2.836 alpha=84.52 beta=73.00 gamma=22.47
Fractional positions:
Ir 0.000 0.000 0.000
Ru 0.346 0.346 0.654
Br 0.686 0.686 0.314

Formation energy from raw total energies = 0.9832 eV per atom
VASP energy = -40.812 eV/atom
V = 15.9 Å³/atom

Entry from Alexandria via LeMat-Bulk: a crystal of InReH2 relaxed with PBEsol (SCAN).

Unit cell a=6.221 b=6.221 c=6.221 alpha=142.65 beta=142.65 gamma=53.85
Fractional positions:
In 0.000 0.000 0.000
In 0.750 0.250 0.500
Re 0.250 0.750 0.500
Re 0.500 0.500 0.000
H 0.261 0.625 0.136
H 0.375 0.511 0.636
H 0.489 0.125 0.864
H 0.875 0.739 0.364

VASP energy = -27.185 eV/atom
V = 11.0 Å³/atom

Entry from Alexandria via LeMat-Bulk: a crystal of CoHgMo2 relaxed with PBEsol (SCAN).

Unit cell a=2.742 b=3.960 c=5.528 alpha=90.00 beta=91.29 gamma=90.00
Fractional positions:
Co 0.000 0.000 0.000
Hg 0.000 0.000 0.500
Mo 0.488 0.500 0.215
Mo 0.512 0.500 0.785

Formation energy from the elements = 0.356 eV per atom
VASP energy = -38.454 eV/atom
V = 15.0 Å³/atom

Entry from Alexandria via LeMat-Bulk: a crystal of LaTa3Pd relaxed with PBEsol (SCAN).

Unit cell a=4.781 b=4.781 c=4.781 alpha=90.00 beta=90.00 gamma=90.00
Fractional positions:
La 0.000 0.000 0.000
Ta 0.000 0.000 0.500
Ta 0.000 0.500 0.000
Ta 0.500 0.000 0.000
Pd 0.500 0.500 0.500

Formation energy from the elements = 2.323 eV per atom
VASP energy = -52.803 eV/atom
V = 21.9 Å³/atom

Entry from Alexandria via LeMat-Bulk: a crystal of GeAs2WBr relaxed with PBEsol (SCAN).

Unit cell a=4.805 b=4.805 c=5.178 alpha=90.00 beta=90.00 gamma=90.00
Fractional positions:
Ge 0.000 0.000 0.000
As 0.000 0.500 0.500
As 0.500 0.000 0.500
W 0.500 0.500 0.500
Br 0.500 0.500 0.000

Formation energy from raw total energies = 0.7970 eV per atom
VASP energy = -28.926 eV/atom
V = 23.9 Å³/atom

| no. | magnetization (Bohr magnetons per cell) |
| --- | --- |
| 1 | 0.00 |
| 2 | 0.00 |
| 3 | 0.00 |
| 4 | 0.00 |
| 5 | 0.00 |
| 6 | 0.00 |
| 7 | 3.05 |
| 8 | 0.00 |
| 9 | 1.70 |
| 10 | 1.88 |
| 11 | 0.00 |
| 12 | 0.00 |